Here is a geometry-optimized KReS2 structure from Alexandria via LeMat-Bulk. Energies are from PBEsol.

Calculated values
* energy: -5.9892 eV per atom
* DOS at the Fermi energy: 0.703 states/eV/atom

a = 3.5456 Å, b = 3.5456 Å, c = 25.5867 Å
α = 90.00°, β = 90.00°, γ = 120.00°
Space group R-3m (No. 166, hexagonal axes)
One atom of each set of equivalent atoms:
1 K 0.0000 0.0000 0.0000 x3
2 Re 0.0000 0.0000 0.5000 x3
3 S 0.0000 0.0000 0.1163 x6



Here is a geometry-optimized KRe3Sb structure from Alexandria via LeMat-Bulk. Energies are from PBEsol.

Calculated values
* energy: -6.4287 eV per atom
* DOS at the Fermi energy: 1.804 states/eV/atom

a = 4.9227 Å, b = 4.9227 Å, c = 4.9227 Å
α = 90.00°, β = 90.00°, γ = 90.00°
Space group Pm-3m (No. 221)
One atom of each set of equivalent atoms:
1 K 0.0000 0.0000 0.0000 x1
2 Re 0.0000 0.5000 0.5000 x3
3 Sb 0.5000 0.5000 0.5000 x1



Here is a geometry-optimized KSc2Re structure from Alexandria via LeMat-Bulk. Energies are from PBEsol.

Calculated values
* energy above the lowest structure with this stoichiometry: 0.000 eV per atom
* energy: -6.4881 eV per atom
* formation energy from the elements: 0.43 eV/atom
* DOS at the Fermi energy: 0.699 states/eV/atom

a = 7.6070 Å, b = 3.2006 Å, c = 9.2557 Å
α = 90.00°, β = 94.87°, γ = 90.00°
Space group C2/m (No. 12)
One atom of each set of equivalent atoms:
1 K 0.0000 0.0000 0.0000 x2
2 Sc 0.2248 0.0000 0.6490 x4
3 Re 0.0000 0.5000 0.5000 x2



Here is a geometry-optimized K2ScRe structure from Alexandria via LeMat-Bulk. Energies are from PBEsol.

Calculated values
* energy above the lowest structure with this stoichiometry: 0.449 eV per atom
* energy: -4.3495 eV per atom
* formation energy from the elements: 1.20 eV/atom
* DOS at the Fermi energy: 0.906 states/eV/atom

a = 5.8046 Å, b = 12.5829 Å, c = 2.9290 Å
α = 90.00°, β = 118.40°, γ = 90.00°
Space group C2/m (No. 12)
One atom of each set of equivalent atoms:
1 K 0.2500 0.2500 0.0000 x4
2 Sc 0.0000 0.0000 0.5000 x2
3 Re 0.0000 0.5000 0.5000 x2



Here is a geometry-optimized KSc2Re structure from Alexandria via LeMat-Bulk. Energies are from PBEsol.

Calculated values
* energy above the lowest structure with this stoichiometry: 0.142 eV per atom
* energy: -6.3463 eV per atom
* formation energy from the elements: 0.57 eV/atom
* DOS at the Fermi energy: 0.684 states/eV/atom

a = 3.5900 Å, b = 3.5900 Å, c = 8.3946 Å
α = 90.00°, β = 90.00°, γ = 90.00°
Space group P4mm (No. 99)
One atom of each set of equivalent atoms:
1 K 0.0000 0.0000 0.0000 x1
2 Sc 0.0000 0.0000 0.4022 x1
3 Sc 0.5000 0.5000 0.6116 x1
4 Re 0.5000 0.5000 0.3068 x1



Here is a geometry-optimized K2ScRe structure from Alexandria via LeMat-Bulk. Energies are from PBEsol.

Calculated values
* energy above the lowest structure with this stoichiometry: 0.584 eV per atom
* energy: -4.2143 eV per atom
* formation energy from the elements: 1.34 eV/atom
* DOS at the Fermi energy: 1.202 states/eV/atom

a = 2.8399 Å, b = 5.5440 Å, c = 6.1535 Å
α = 90.00°, β = 90.00°, γ = 90.00°
Space group Pmmm (No. 47)
One atom of each set of equivalent atoms:
1 K 0.0000 0.2418 0.0000 x2
2 Sc 0.5000 0.5000 0.5000 x1
3 Re 0.5000 0.0000 0.5000 x1